[1]
TlRePt: optimized geometry, GGA-PBEsol.

POSCAR file:
```
TlRePt
1.0
6.189 0.000 0.000
0.000 6.189 0.000
0.000 0.000 6.189
Tl Re Pt
4 4 4
Cartesian
0.000 0.000 0.000
0.000 3.094 3.094
3.094 0.000 3.094
3.094 3.094 0.000
0.000 0.000 3.094
0.000 3.094 0.000
3.094 0.000 0.000
3.094 3.094 3.094
1.547 1.547 1.547
1.547 4.642 4.642
4.642 1.547 4.642
4.642 4.642 1.547
```


[2]
Tl2RePt: optimized geometry, GGA-PBEsol.

POSCAR file:
```
Tl2RePt
1.0
6.675 0.000 0.000
0.000 6.675 0.000
0.000 0.000 6.675
Tl Re Pt
8 4 4
Cartesian
0.000 0.000 0.000
0.000 3.337 3.337
1.669 1.669 1.669
1.669 5.006 5.006
3.337 0.000 3.337
3.337 3.337 0.000
5.006 1.669 5.006
5.006 5.006 1.669
1.669 1.669 5.006
1.669 5.006 1.669
5.006 1.669 1.669
5.006 5.006 5.006
0.000 0.000 3.337
0.000 3.337 0.000
3.337 0.000 0.000
3.337 3.337 3.337
```

Summary:
relative energy among the computed polymorphs = 353 meV/atom


[3]
RePt2W: optimized geometry, GGA-PBEsol.

POSCAR file:
```
RePt2W
1.0
9.222 0.000 0.000
0.000 2.757 0.000
-0.831 0.000 4.687
Re Pt W
2 4 2
Cartesian
0.000 0.000 0.000
4.611 1.378 0.000
2.089 1.378 1.163
1.691 0.000 3.524
6.700 0.000 1.163
6.302 1.378 3.524
-0.415 1.378 2.343
4.195 0.000 2.343
```

Summary:
relative energy among the computed polymorphs = 0 meV/atom


[4]
RePt2W: optimized geometry, GGA-PBEsol.

POSCAR file:
```
RePt2W
1.0
2.753 0.000 0.000
-1.377 2.385 0.000
0.000 0.000 27.224
Re Pt W
3 6 3
Cartesian
0.000 0.000 0.000
0.000 1.590 18.149
1.377 0.795 9.075
0.000 0.000 6.819
0.000 0.000 20.405
0.000 1.590 11.330
0.000 1.590 24.968
1.377 0.795 2.255
1.377 0.795 15.894
0.000 0.000 13.612
0.000 1.590 4.537
1.377 0.795 22.686
```

Summary:
relative energy among the computed polymorphs = 17 meV/atom


[5]
RePt2W: optimized geometry, GGA-PBEsol.

POSCAR file:
```
RePt2W
1.0
6.241 0.000 0.000
0.000 6.241 0.000
0.000 0.000 6.241
Re Pt W
4 8 4
Cartesian
0.000 0.000 0.000
0.000 3.120 3.120
3.120 0.000 3.120
3.120 3.120 0.000
0.000 0.000 3.120
0.000 3.120 0.000
1.560 1.560 4.681
1.560 4.681 1.560
3.120 0.000 0.000
3.120 3.120 3.120
4.681 1.560 1.560
4.681 4.681 4.681
1.560 1.560 1.560
1.560 4.681 4.681
4.681 1.560 4.681
4.681 4.681 1.560
```

Summary:
relative energy among the computed polymorphs = 220 meV/atom


[6]
RePt4W: optimized geometry, GGA-PBEsol.

POSCAR file:
```
RePt4W
1.0
0.000 3.597 3.597
3.597 0.000 3.597
3.597 3.597 0.000
Re Pt W
1 4 1
Cartesian
0.000 0.000 0.000
2.696 2.696 2.696
4.497 4.497 2.696
4.497 2.696 4.497
2.696 4.497 4.497
5.395 5.395 5.395
```


[7]
RePt2W: optimized geometry, GGA-PBEsol.

POSCAR file:
```
RePt2W
1.0
2.756 0.000 0.000
-1.378 2.387 0.000
0.000 0.000 27.377
Re Pt W
3 6 3
Cartesian
0.000 0.000 0.000
0.000 1.591 18.252
1.378 0.796 9.126
0.000 0.000 6.924
0.000 0.000 13.674
0.000 1.591 4.548
0.000 1.591 25.176
1.378 0.796 16.050
1.378 0.796 22.800
0.000 0.000 20.583
0.000 1.591 11.457
1.378 0.796 2.331
```

Summary:
relative energy among the computed polymorphs = 31 meV/atom


[8]
YRePt2: optimized geometry, GGA-PBEsol.

POSCAR file:
```
YRePt2
1.0
9.371 0.000 0.000
0.000 2.834 0.000
-0.840 0.000 5.121
Y Re Pt
2 2 4
Cartesian
0.000 0.000 0.000
4.685 1.417 0.000
-0.420 1.417 2.561
4.265 0.000 2.561
1.656 0.000 3.694
2.189 1.417 1.427
6.341 1.417 3.694
6.874 0.000 1.427
```


[9]
Y2RePt: optimized geometry, GGA-PBEsol.

POSCAR file:
```
Y2RePt
1.0
3.343 0.000 0.000
-1.672 2.895 0.000
0.000 0.000 27.667
Y Re Pt
6 3 3
Cartesian
0.000 0.000 0.000
0.000 0.000 5.966
0.000 1.930 18.445
0.000 1.930 24.411
1.672 0.965 9.222
1.672 0.965 15.189
0.000 0.000 13.049
0.000 1.930 3.827
1.672 0.965 22.272
0.000 0.000 20.450
0.000 1.930 11.228
1.672 0.965 2.005
```


[10]
ZrRe2Pt: optimized geometry, GGA-PBEsol.

POSCAR file:
```
ZrRe2Pt
1.0
6.365 0.000 0.000
0.000 6.365 0.000
0.000 0.000 6.365
Zr Re Pt
4 8 4
Cartesian
0.000 0.000 0.000
0.000 3.182 3.182
3.182 0.000 3.182
3.182 3.182 0.000
0.000 0.000 3.182
0.000 3.182 0.000
1.591 1.591 4.773
1.591 4.773 1.591
3.182 0.000 0.000
3.182 3.182 3.182
4.773 1.591 1.591
4.773 4.773 4.773
1.591 1.591 1.591
1.591 4.773 4.773
4.773 1.591 4.773
4.773 4.773 1.591
```

Summary:
relative energy among the computed polymorphs = 172 meV/atom


[11]
ZrRe2Pt: optimized geometry, GGA-PBEsol.

POSCAR file:
```
ZrRe2Pt
1.0
3.345 0.000 0.000
0.000 3.345 0.000
0.000 0.000 5.831
Zr Re Pt
1 2 1
Cartesian
0.000 0.000 0.000
1.672 1.672 1.602
1.672 1.672 4.228
0.000 0.000 2.915
```

Summary:
relative energy among the computed polymorphs = 305 meV/atom


[12]
ZrRe2Pt: optimized geometry, GGA-PBEsol.

POSCAR file:
```
ZrRe2Pt
1.0
5.411 0.000 0.000
0.000 9.453 0.000
-1.064 0.000 2.493
Zr Re Pt
2 4 2
Cartesian
0.000 0.000 0.000
2.705 4.727 0.000
0.821 2.363 1.247
0.821 7.090 1.247
3.526 2.363 1.247
3.526 7.090 1.247
0.000 4.727 0.000
2.705 0.000 0.000
```

Summary:
relative energy among the computed polymorphs = 149 meV/atom


[13]
Zr2RePt: optimized geometry, GGA-PBEsol.

POSCAR file:
```
Zr2RePt
1.0
4.581 0.000 0.000
0.000 4.581 0.000
0.000 0.000 3.362
Zr Re Pt
2 1 1
Cartesian
0.000 2.290 0.000
2.290 0.000 0.000
0.000 0.000 1.681
2.290 2.290 1.681
```


[14]
Zr2RePt: optimized geometry, GGA-PBEsol.

POSCAR file:
```
Zr2RePt
1.0
2.795 0.000 0.000
0.000 2.795 0.000
0.000 0.000 9.105
Zr Re Pt
2 1 1
Cartesian
0.000 0.000 0.000
1.397 1.397 2.727
1.397 1.397 6.813
0.000 0.000 4.971
```


[15]
ZrRe2Pt: optimized geometry, GGA-PBEsol.

POSCAR file:
```
ZrRe2Pt
1.0
3.914 0.000 0.000
0.000 4.192 0.000
0.000 0.000 7.771
Zr Re Pt
2 4 2
Cartesian
0.000 0.000 0.000
1.957 2.096 3.886
0.000 0.000 3.757
0.000 2.096 5.854
1.957 0.000 1.968
1.957 2.096 7.642
0.000 2.096 1.876
1.957 0.000 5.762
```

Summary:
relative energy among the computed polymorphs = 0 meV/atom


[16]
ZrRePt2: optimized geometry, GGA-PBEsol.

POSCAR file:
```
ZrRePt2
1.0
5.576 0.000 0.000
0.000 8.129 0.000
0.000 0.000 2.782
Zr Re Pt
2 2 4
Cartesian
0.000 0.000 0.000
2.788 4.064 0.000
0.000 4.064 0.000
2.788 0.000 0.000
1.394 2.032 1.391
1.394 6.096 1.391
4.182 2.032 1.391
4.182 6.096 1.391
```


[17]
Zr2RePt: optimized geometry, GGA-PBEsol.

POSCAR file:
```
Zr2RePt
1.0
6.502 0.000 0.000
0.000 6.502 0.000
0.000 0.000 6.502
Zr Re Pt
8 4 4
Cartesian
0.000 0.000 0.000
0.000 3.251 3.251
1.625 1.625 1.625
1.625 4.876 4.876
3.251 0.000 3.251
3.251 3.251 0.000
4.876 1.625 4.876
4.876 4.876 1.625
0.000 0.000 3.251
0.000 3.251 0.000
3.251 0.000 0.000
3.251 3.251 3.251
1.625 1.625 4.876
1.625 4.876 1.625
4.876 1.625 1.625
4.876 4.876 4.876
```


[18]
PtRh5: optimized geometry, GGA-PBEsol.

POSCAR file:
```
PtRh5
1.0
4.663 0.000 0.000
-2.332 4.039 0.000
0.000 0.000 4.386
Pt Rh
1 5
Cartesian
0.000 0.000 0.000
-1.547 2.679 2.193
0.000 2.692 0.000
0.785 1.360 2.193
3.093 0.000 2.193
2.332 1.346 0.000
```

Summary:
relative energy among the computed polymorphs = 52 meV/atom


[19]
PtRh: optimized geometry, GGA-PBEsol.

POSCAR file:
```
PtRh
1.0
2.717 0.000 0.000
-1.359 2.353 0.000
0.000 0.000 4.472
Pt Rh
1 1
Cartesian
0.000 0.000 0.000
1.359 0.784 2.236
```


[20]
PtRh: optimized geometry, GGA-PBEsol.

POSCAR file:
```
PtRh
1.0
2.708 0.000 0.000
-1.354 2.345 0.000
0.000 0.000 9.015
Pt Rh
2 2
Cartesian
0.000 1.563 3.323
1.354 0.782 5.692
0.000 1.563 7.954
1.354 0.782 1.061
```


Number 1: formation energy 891 meV per atom. Number 2: formation energy 980 meV per atom. Number 3: formation energy -50 meV per atom. Number 4: formation energy -34 meV per atom. Number 5: formation energy 170 meV per atom. Number 6: formation energy 400 meV per atom. Number 7: formation energy -19 meV per atom. Number 8: formation energy -100 meV per atom. Number 9: formation energy 374 meV per atom. Number 10: formation energy -35 meV per atom. Number 11: formation energy 99 meV per atom. Number 12: formation energy -57 meV per atom. Number 13: formation energy -629 meV per atom. Number 14: formation energy -103 meV per atom. Number 15: formation energy -206 meV per atom. Number 16: formation energy -510 meV per atom. Number 17: formation energy -220 meV per atom. Number 18: formation energy 44 meV per atom. Number 19: formation energy 72 meV per atom. Number 20: formation energy 56 meV per atom.